1.
The following is a PBE-GGA calculation of a relaxed structure of ThScAu, from OQMD via LeMat-Bulk.

Formation energy from the elements (eV per atom): -0.229
Symmetry: F-43m, No. 216
Crystal system: cubic

abc: 4.9309 4.9309 4.9309
angles: 60.00 60.00 60.00
Element x y z (fractional)
1 Au 0.0000 0.0000 0.0000
2 Sc 0.2500 0.2500 0.2500
3 Th 0.7500 0.7500 0.7500



2.
The following is a PBE-GGA calculation of a relaxed structure of HoB4Au, from OQMD via LeMat-Bulk.

Symmetry: Immm, No. 71
Crystal system: orthorhombic

abc: 5.0782 5.0782 5.0782
angles: 143.24 118.04 74.26
Element x y z (fractional)
1 Au 0.0000 0.0000 0.0000
2 B 0.5441 0.2298 0.3143
3 B 0.0844 0.7702 0.3143
4 B 0.9156 0.2298 0.6857
5 B 0.4559 0.7702 0.6857
6 Ho 0.5000 0.5000 0.0000



no.,offset from the most stable computed form (meV/atom)
1,0.0
2,0.0